VASP calculation (PBE) on a relaxed Ce4NbN5 crystal.

The value obtained for the energy is -89.44 eV per cell. The calculation puts the density of states at the Fermi level at 8.8 states/eV per cell. As for the formation energy from raw total energies: -1.401 eV per atom.

Cell lengths 4.944, 6.004, 6.004 Å; angles 80.24, 65.69, 65.69 degrees
Fractional coordinates of all 10 atoms:
1 Ce 0.401 0.397 0.802
2 Ce 0.799 0.802 0.603
3 Ce 0.203 0.198 0.397
4 Ce 0.600 0.603 0.198
5 Nb 0.005 0.000 0.000
6 N 0.907 0.376 0.813
7 N 0.283 0.813 0.624
8 N 0.720 0.187 0.376
9 N 0.096 0.624 0.187
10 N 0.496 0.000 0.000